Density functional theory data (PBE) for a relaxed Al2BiSb2 crystal.

Output
- E_form (uncorrected): 71 kJ/mol of formula units
- Offset from the most stable computed form: 0.0 kJ/mol of atoms
- Uncorrected energy: -3.78 eV per atom
- DOS(E_F): 3.2 states/eV/f.u.

Unit cell a=4.0593 b=4.0593 c=15.7800 alpha=90.00 beta=90.00 gamma=90.00
Last column: nearest neighbours and their distance in Å.
Sites, in units of the cell vectors:
Al  0.0000  0.5000  0.2500  4 Sb 2.86, 4 Al 2.87
Al  0.0000  0.5000  0.7500  4 Sb 2.86, 4 Al 2.87
Al  0.5000  0.0000  0.2500  4 Sb 2.86, 4 Al 2.87
Al  0.5000  0.0000  0.7500  4 Sb 2.86, 4 Al 2.87
Bi  0.0000  0.0000  0.0000  8 Sb 3.46
Bi  0.5000  0.5000  0.5000  8 Sb 3.46
Sb  0.0000  0.0000  0.3775  4 Al 2.86
Sb  0.0000  0.0000  0.6225  4 Al 2.86
Sb  0.5000  0.5000  0.1225  4 Al 2.86
Sb  0.5000  0.5000  0.8775  4 Al 2.86

Density functional theory data (PBE) for a relaxed RbLiSn2 crystal.

Output
- Offset from the most stable computed form: 4.7 kJ/mol of atoms
- Uncorrected energy: -2.94 eV per atom
- DOS(E_F): 1.0 states/eV/f.u.

Unit cell a=3.6953 b=3.6953 c=8.4641 alpha=90.00 beta=90.00 gamma=90.00
Last column: nearest neighbours and their distance in Å.
Sites, in units of the cell vectors:
Rb  0.0000  0.0000  0.0000  4 Rb 3.70, 8 Sn 3.79
Li  0.0000  0.0000  0.5000  8 Sn 3.00
Sn  0.5000  0.5000  0.3251  1 Sn 2.96, 4 Li 3.00
Sn  0.5000  0.5000  0.6749  1 Sn 2.96, 4 Li 3.00

Density functional theory data (PBE) for a relaxed ReHg2Ge crystal.

Output
- Uncorrected energy: -3.58 eV per atom
- DOS(E_F): 0.5 states/eV/f.u.

Unit cell a=9.1740 b=9.1740 c=4.8521 alpha=90.00 beta=90.00 gamma=90.00
Last column: nearest neighbours and their distance in Å.
Sites, in units of the cell vectors:
Re  0.0000  0.0000  0.0000  2 Ge 2.43
Re  0.0000  0.5000  0.2500  2 Ge 2.43
Re  0.5000  0.0000  0.7500  2 Ge 2.43
Re  0.5000  0.5000  0.5000  2 Ge 2.43
Hg  0.1455  0.2500  0.1250  2 Re 2.72
Hg  0.2500  0.6455  0.3750  2 Re 2.72
Hg  0.2500  0.8545  0.8750  2 Re 2.72
Hg  0.3545  0.2500  0.6250  2 Re 2.72
Hg  0.6455  0.7500  0.6250  2 Re 2.72
Hg  0.7500  0.1455  0.8750  2 Re 2.72
Hg  0.7500  0.3545  0.3750  2 Re 2.72
Hg  0.8545  0.7500  0.1250  2 Re 2.72
Ge  0.0000  0.0000  0.5000  2 Re 2.43
Ge  0.0000  0.5000  0.7500  2 Re 2.43
Ge  0.5000  0.0000  0.2500  2 Re 2.43
Ge  0.5000  0.5000  0.0000  2 Re 2.43

Density functional theory data (PBE) for a relaxed Nd3HoTm2Se6 crystal.

Output
- E_form (uncorrected): -2050 kJ/mol of formula units
- Uncorrected energy: -5.83 eV per atom
- DOS(E_F): 5.5 states/eV/f.u.

Unit cell a=7.0633 b=7.0633 c=7.3294 alpha=99.23 beta=99.23 gamma=120.23
Last column: nearest neighbours and their distance in Å.
Sites, in units of the cell vectors:
Nd  0.0000  0.0000  0.0000  6 Se 2.99-3.01
Nd  0.3349  0.6651  0.0000  6 Se 3.00-3.01
Nd  0.6651  0.3349  0.0000  6 Se 3.00-3.01
Ho  0.5000  0.5000  0.5000  6 Se 2.86
Tm  0.1664  0.8336  0.5000  6 Se 2.83-2.84
Tm  0.8336  0.1664  0.5000  6 Se 2.83-2.84
Se  0.0872  0.4232  0.2689  2 Tm 2.84, 1 Ho 2.86, 3 Nd 3.00-3.01
Se  0.2408  0.2408  0.7302  2 Tm 2.83, 1 Ho 2.86, 3 Nd 2.99-3.00
Se  0.4232  0.0872  0.2689  2 Tm 2.84, 1 Ho 2.86, 3 Nd 3.00-3.01
Se  0.5768  0.9128  0.7311  2 Tm 2.84, 1 Ho 2.86, 3 Nd 3.00-3.01
Se  0.7592  0.7592  0.2698  2 Tm 2.83, 1 Ho 2.86, 3 Nd 2.99-3.00
Se  0.9128  0.5768  0.7311  2 Tm 2.84, 1 Ho 2.86, 3 Nd 3.00-3.01

Density functional theory data (PBE) for a relaxed Mg6AlSn crystal.

Output
- Offset from the most stable computed form: 3.0 kJ/mol of atoms
- Uncorrected energy: -2.19 eV per atom
- DOS(E_F): 3.0 states/eV/f.u.

Unit cell a=5.0014 b=6.5401 c=10.8147 alpha=90.00 beta=90.00 gamma=90.00
Last column: nearest neighbours and their distance in Å.
Sites, in units of the cell vectors:
Mg  0.0000  0.0000  0.0000  2 Sn 3.10, 10 Mg 3.11-3.27
Mg  0.0000  0.0000  0.4964  2 Al 3.07, 10 Mg 3.09-3.27
Mg  0.0000  0.2392  0.2495  2 Al 3.08, 8 Mg 3.09-3.41, 2 Sn 3.15
Mg  0.0000  0.2608  0.7495  2 Al 3.08, 8 Mg 3.09-3.41, 2 Sn 3.15
Mg  0.0000  0.5000  0.5000  2 Sn 3.10, 10 Mg 3.11-3.27
Mg  0.0000  0.5000  0.9964  2 Al 3.07, 10 Mg 3.09-3.27
Mg  0.0000  0.7392  0.7495  2 Al 3.08, 8 Mg 3.09-3.41, 2 Sn 3.15
Mg  0.0000  0.7608  0.2495  2 Al 3.08, 8 Mg 3.09-3.41, 2 Sn 3.15
Mg  0.5000  0.2490  0.5794  8 Mg 3.11-3.28, 2 Al 3.14-3.18, 2 Sn 3.16
Mg  0.5000  0.2510  0.0794  8 Mg 3.11-3.28, 2 Al 3.14-3.18, 2 Sn 3.16
Mg  0.5000  0.7490  0.0794  8 Mg 3.11-3.28, 2 Al 3.14-3.18, 2 Sn 3.16
Mg  0.5000  0.7510  0.5794  8 Mg 3.11-3.28, 2 Al 3.14-3.18, 2 Sn 3.16
Al  0.5000  0.0000  0.3314  10 Mg 3.07-3.18, 2 Sn 3.27
Al  0.5000  0.5000  0.8314  10 Mg 3.07-3.18, 2 Sn 3.27
Sn  0.5000  0.0000  0.8298  10 Mg 3.10-3.16, 2 Al 3.27
Sn  0.5000  0.5000  0.3298  10 Mg 3.10-3.16, 2 Al 3.27

Density functional theory data (PBE) for a relaxed NaMgSnHg crystal.

Output
- Offset from the most stable computed form: 4.8 kJ/mol of atoms
- Uncorrected energy: -1.96 eV per atom
- DOS(E_F): 3.1 states/eV/f.u.

Unit cell a=7.2515 b=7.2515 c=7.2515 alpha=90.00 beta=90.00 gamma=90.00
Last column: nearest neighbours and their distance in Å.
Sites, in units of the cell vectors:
Na  0.0000  0.0000  0.0000  4 Hg 3.14, 4 Sn 3.14
Na  0.0000  0.5000  0.5000  4 Hg 3.14, 4 Sn 3.14
Na  0.5000  0.0000  0.5000  4 Hg 3.14, 4 Sn 3.14
Na  0.5000  0.5000  0.0000  4 Hg 3.14, 4 Sn 3.14
Mg  0.0000  0.0000  0.5000  4 Hg 3.14, 4 Sn 3.14
Mg  0.0000  0.5000  0.0000  4 Hg 3.14, 4 Sn 3.14
Mg  0.5000  0.0000  0.0000  4 Hg 3.14, 4 Sn 3.14
Mg  0.5000  0.5000  0.5000  4 Hg 3.14, 4 Sn 3.14
Sn  0.2500  0.2500  0.2500  4 Na 3.14, 4 Mg 3.14
Sn  0.2500  0.7500  0.7500  4 Na 3.14, 4 Mg 3.14
Sn  0.7500  0.2500  0.7500  4 Na 3.14, 4 Mg 3.14
Sn  0.7500  0.7500  0.2500  4 Na 3.14, 4 Mg 3.14
Hg  0.2500  0.2500  0.7500  4 Na 3.14, 4 Mg 3.14
Hg  0.2500  0.7500  0.2500  4 Na 3.14, 4 Mg 3.14
Hg  0.7500  0.2500  0.2500  4 Na 3.14, 4 Mg 3.14
Hg  0.7500  0.7500  0.7500  4 Na 3.14, 4 Mg 3.14

Density functional theory data (PBE) for a relaxed ZrCdRu2 crystal.

Output
- Uncorrected energy: -7.00 eV per atom
- DOS(E_F): 3.1 states/eV/f.u.

Unit cell a=2.8880 b=2.8880 c=8.3725 alpha=90.00 beta=90.00 gamma=90.00
Last column: nearest neighbours and their distance in Å.
Sites, in units of the cell vectors:
Zr  0.0000  0.0000  0.0000  4 Zr 2.89, 4 Ru 2.97, 4 Cd 3.22
Cd  0.5000  0.5000  0.2978  4 Cd 2.89, 4 Ru 2.95, 4 Zr 3.22
Ru  0.0000  0.0000  0.5527  8 Ru 2.59-2.89
Ru  0.5000  0.5000  0.7432  8 Ru 2.59-2.89

Density functional theory data (PBE) for a relaxed SnSbNF2 crystal.

Output
- E_form (uncorrected): -235 kJ/mol of formula units
- Offset from the most stable computed form: 10.2 kJ/mol of atoms
- Uncorrected energy: -4.53 eV per atom
- DOS(E_F): 2.1 states/eV/f.u.

Unit cell a=4.4008 b=4.4008 c=4.1817 alpha=90.00 beta=90.00 gamma=90.00
Last column: nearest neighbours and their distance in Å.
Sites, in units of the cell vectors:
Sn  0.0000  0.0000  0.0000  2 N 2.09, 4 F 2.20
Sb  0.5000  0.5000  0.5000  8 F 3.04, 4 N 3.11
N  0.0000  0.0000  0.5000  2 Sn 2.09
F  0.0000  0.5000  0.0000  2 Sn 2.20
F  0.5000  0.0000  0.0000  2 Sn 2.20